Entry 1:
Crystalline HoZrGa2 at its relaxed geometry. Source: Alexandria, functional PBE.

Structure (POSCAR):
```
HoZrGa2
1.0
3.909 0.000 0.000
0.000 4.147 0.000
0.000 0.000 10.583
Ho Zr Ga
2 2 4
Cartesian
0.000 0.000 0.000
0.000 2.074 5.291
1.954 0.000 2.973
1.954 2.074 8.264
0.000 0.000 7.689
0.000 2.074 2.397
1.954 0.000 5.989
1.954 2.074 0.698
```

## Properties
The value obtained for the mass density is 7.66 g/cm3. The space group is Amm2. Its total energy is -43.01 eV per cell.



Entry 2:
Crystalline HoZr2Ga at its relaxed geometry. Source: Alexandria, functional PBE.

Structure (POSCAR):
```
HoZr2Ga
1.0
3.138 0.000 0.000
-1.569 2.717 0.000
0.000 0.000 33.231
Ho Zr Ga
3 6 3
Cartesian
0.000 0.000 0.000
0.000 1.812 22.154
1.569 0.906 11.077
0.000 0.000 3.180
0.000 0.000 30.051
0.000 1.812 18.974
0.000 1.812 25.335
1.569 0.906 7.897
1.569 0.906 14.257
0.000 0.000 16.616
0.000 1.812 5.539
1.569 0.906 27.693
```

## Properties
The value obtained for the mass density is 7.33 g/cm3. The space group is R-3m. Its total energy is -72.64 eV per cell.



Entry 3:
Crystalline HoZrGa4 at its relaxed geometry. Source: Alexandria, functional PBE.

Structure (POSCAR):
```
HoZrGa4
1.0
0.000 3.807 3.807
3.807 0.000 3.807
3.807 3.807 0.000
Ho Zr Ga
1 1 4
Cartesian
0.000 0.000 0.000
1.903 1.903 1.903
4.757 2.857 2.857
2.857 4.757 2.857
2.857 2.857 4.757
4.757 4.757 4.757
```

## Properties
The value obtained for the mass density is 8.05 g/cm3. The space group is F-43m. Its total energy is -28.23 eV per cell.



Entry 4:
Crystalline HoZr2Ga at its relaxed geometry. Source: Alexandria, functional PBE.

Structure (POSCAR):
```
HoZr2Ga
1.0
3.236 0.000 0.000
0.000 3.236 0.000
0.000 0.000 8.699
Ho Zr Ga
1 2 1
Cartesian
0.000 0.000 0.000
1.618 1.618 2.489
1.618 1.618 6.210
0.000 0.000 4.350
```

## Properties
The value obtained for the mass density is 7.60 g/cm3. The space group is P4/mmm. Its total energy is -25.40 eV per cell.



Entry 5:
Crystalline HoZrGa at its relaxed geometry. Source: Alexandria, functional PBE.

Structure (POSCAR):
```
HoZrGa
1.0
3.324 0.000 0.000
0.000 3.324 0.000
0.000 0.000 12.468
Ho Zr Ga
2 2 2
Cartesian
0.000 0.000 0.000
1.662 1.662 6.234
0.000 0.000 3.850
1.662 1.662 10.084
0.000 0.000 8.275
1.662 1.662 2.041
```

## Properties
The value obtained for the mass density is 7.85 g/cm3. The space group is I4mm. Its total energy is -34.17 eV per cell.



Entry 6:
Crystalline Ho2ZrGa at its relaxed geometry. Source: Alexandria, functional PBE.

Structure (POSCAR):
```
Ho2ZrGa
1.0
3.303 0.000 0.000
-1.652 2.861 0.000
0.000 0.000 33.069
Ho Zr Ga
6 3 3
Cartesian
0.000 0.000 3.212
0.000 0.000 29.858
0.000 1.907 18.835
0.000 1.907 25.258
1.652 0.954 7.811
1.652 0.954 14.235
0.000 0.000 0.000
0.000 1.907 22.046
1.652 0.954 11.023
0.000 0.000 16.535
0.000 1.907 5.512
1.652 0.954 27.558
```

## Properties
The value obtained for the mass density is 7.82 g/cm3. The space group is R-3m. Its total energy is -60.82 eV per cell.



Entry 7:
Crystalline HoZrGa2 at its relaxed geometry. Source: Alexandria, functional PBE.

Structure (POSCAR):
```
HoZrGa2
1.0
3.531 0.000 0.000
-1.766 3.058 0.000
0.000 0.000 24.882
Ho Zr Ga
3 3 6
Cartesian
0.000 0.000 0.000
0.000 2.039 16.588
1.766 1.019 8.294
0.000 0.000 12.441
0.000 2.039 4.147
1.766 1.019 20.735
0.000 0.000 6.128
0.000 0.000 18.753
0.000 2.039 10.459
0.000 2.039 22.716
1.766 1.019 2.165
1.766 1.019 14.422
```

## Properties
The value obtained for the mass density is 7.33 g/cm3. The space group is R-3m. Its total energy is -61.81 eV per cell.



Entry 8:
Crystalline HoZrGa2 at its relaxed geometry. Source: Alexandria, functional PBE.

Structure (POSCAR):
```
HoZrGa2
1.0
3.921 0.000 0.000
0.000 5.668 0.000
0.000 0.000 7.703
Ho Zr Ga
2 2 4
Cartesian
0.000 0.725 0.000
0.000 4.943 3.852
1.961 2.106 4.947
1.961 3.562 1.096
0.000 2.250 2.794
0.000 3.418 6.645
1.961 0.691 2.181
1.961 4.977 6.033
```

## Properties
The value obtained for the mass density is 7.67 g/cm3. The space group is Pmc2_1. Its total energy is -42.99 eV per cell.



Entry 9:
Crystalline Ho2Zr3Ga4 at its relaxed geometry. Source: Alexandria, functional PBE.

Structure (POSCAR):
```
Ho2Zr3Ga4
1.0
3.141 -7.759 0.000
3.141 7.759 0.000
0.000 0.000 8.190
Ho Zr Ga
4 6 8
Cartesian
3.141 6.009 7.473
3.141 1.750 3.378
3.141 -1.750 4.813
3.141 -6.009 0.717
0.000 0.000 4.095
1.570 3.213 6.143
1.570 -3.213 2.048
3.141 0.000 0.000
4.711 3.213 6.143
4.711 -3.213 2.048
3.141 4.923 4.537
1.570 0.482 6.143
1.570 -0.482 2.048
3.141 2.835 0.442
3.141 -2.835 7.749
4.711 0.482 6.143
4.711 -0.482 2.048
3.141 -4.923 3.654
```

## Properties
The value obtained for the mass density is 7.34 g/cm3. The space group is Cmce. Its total energy is -101.16 eV per cell.



Entry 10:
Crystalline Ho2ZrGa at its relaxed geometry. Source: Alexandria, functional PBE.

Structure (POSCAR):
```
Ho2ZrGa
1.0
3.429 0.000 0.000
0.000 3.429 0.000
0.000 0.000 8.455
Ho Zr Ga
2 1 1
Cartesian
0.000 0.000 1.914
0.000 0.000 6.541
1.714 1.714 4.228
1.714 1.714 0.000
```

## Properties
The value obtained for the mass density is 8.20 g/cm3. The space group is P4/mmm. Its total energy is -21.71 eV per cell.



Entry 11:
Crystalline Ho2ZrGa at its relaxed geometry. Source: Alexandria, functional PBE.

Structure (POSCAR):
```
Ho2ZrGa
1.0
4.557 0.000 0.000
0.000 4.557 0.000
0.000 0.000 4.574
Ho Zr Ga
2 1 1
Cartesian
0.000 2.278 0.000
2.278 0.000 0.000
0.000 0.000 2.287
2.278 2.278 2.287
```

## Properties
The value obtained for the mass density is 8.58 g/cm3. The space group is P4/mmm. Its total energy is -21.58 eV per cell.



Entry 12:
Crystalline HoZrGa2 at its relaxed geometry. Source: Alexandria, functional PBE.

Structure (POSCAR):
```
HoZrGa2
1.0
3.582 0.000 0.000
0.000 3.582 0.000
0.000 0.000 6.467
Ho Zr Ga
1 1 2
Cartesian
0.000 0.000 0.000
0.000 0.000 3.234
1.791 1.791 1.765
1.791 1.791 4.703
```

## Properties
The value obtained for the mass density is 7.92 g/cm3. The space group is P4/mmm. Its total energy is -21.13 eV per cell.



Entry 13:
Crystalline HoZrGa at its relaxed geometry. Source: Alexandria, functional PBE.

Structure (POSCAR):
```
HoZrGa
1.0
3.819 0.000 0.000
0.000 3.819 0.000
0.000 0.000 9.805
Ho Zr Ga
2 2 2
Cartesian
0.955 0.955 2.320
2.864 2.864 7.485
0.955 0.955 5.562
2.864 2.864 4.243
0.955 0.955 9.135
2.864 2.864 0.670
```

## Properties
The value obtained for the mass density is 7.57 g/cm3. The space group is P4/nmm. Its total energy is -33.03 eV per cell.



Entry 14:
Crystalline HoZrGa2 at its relaxed geometry. Source: Alexandria, functional PBE.

Structure (POSCAR):
```
HoZrGa2
1.0
4.567 0.000 0.000
0.000 4.567 0.000
0.000 0.000 3.946
Ho Zr Ga
1 1 2
Cartesian
0.000 0.000 0.000
2.283 2.283 0.000
0.000 2.283 1.973
2.283 0.000 1.973
```

## Properties
The value obtained for the mass density is 7.98 g/cm3. The space group is P4/mmm. Its total energy is -21.05 eV per cell.



Entry 15:
Crystalline HoZr2Ga at its relaxed geometry. Source: Alexandria, functional PBE.

Structure (POSCAR):
```
HoZr2Ga
1.0
4.332 0.000 0.000
0.000 4.220 0.000
-2.163 0.000 10.301
Ho Zr Ga
2 4 2
Cartesian
-0.001 1.055 4.003
2.170 3.165 6.298
0.000 3.165 1.222
0.003 3.165 9.134
2.166 1.055 1.166
2.169 1.055 9.078
0.003 1.055 7.015
2.165 3.165 3.286
```

## Properties
The value obtained for the mass density is 7.36 g/cm3. The space group is P2_1/m. Its total energy is -51.87 eV per cell.



Entry 16:
Crystalline HoZr2Ga at its relaxed geometry. Source: Alexandria, functional PBE.

Structure (POSCAR):
```
HoZr2Ga
1.0
4.456 0.000 0.000
0.000 4.456 0.000
0.000 0.000 4.442
Ho Zr Ga
1 2 1
Cartesian
0.000 0.000 0.000
0.000 2.228 2.221
2.228 0.000 2.221
2.228 2.228 0.000
```

## Properties
The value obtained for the mass density is 7.85 g/cm3. The space group is P4/mmm. Its total energy is -25.66 eV per cell.



Entry 17:
Crystalline Ho2Zr3Ga4 at its relaxed geometry. Source: Alexandria, functional PBE.

Structure (POSCAR):
```
Ho2Zr3Ga4
1.0
7.519 0.000 0.000
0.000 7.549 0.000
-2.218 0.000 6.889
Ho Zr Ga
4 6 8
Cartesian
1.281 1.308 0.483
0.172 2.467 3.928
5.129 5.082 2.961
4.020 6.241 6.406
1.315 5.134 1.709
0.206 6.190 5.153
2.650 0.000 3.445
3.760 3.774 0.000
5.095 1.359 1.736
3.986 2.415 5.181
-1.312 4.043 5.949
-0.203 7.281 2.504
1.772 0.935 5.999
2.882 2.839 2.554
2.419 4.710 4.335
3.528 6.613 0.891
5.504 0.268 4.385
6.613 3.506 0.940
```

## Properties
The value obtained for the mass density is 7.49 g/cm3. The space group is P2_1/c. Its total energy is -104.05 eV per cell.



Entry 18:
Crystalline HoZrGa2 at its relaxed geometry. Source: Alexandria, functional PBE.

Structure (POSCAR):
```
HoZrGa2
1.0
6.916 0.000 0.000
0.000 6.916 0.000
0.000 0.000 6.916
Ho Zr Ga
4 4 8
Cartesian
0.000 0.000 0.000
0.000 3.458 3.458
3.458 0.000 3.458
3.458 3.458 0.000
0.000 0.000 3.458
0.000 3.458 0.000
3.458 0.000 0.000
3.458 3.458 3.458
1.729 1.729 1.729
1.729 1.729 5.187
1.729 5.187 1.729
1.729 5.187 5.187
5.187 1.729 1.729
5.187 1.729 5.187
5.187 5.187 1.729
5.187 5.187 5.187
```

## Properties
The value obtained for the mass density is 7.94 g/cm3. The space group is Fm-3m. Its total energy is -83.86 eV per cell.



Entry 19:
Crystalline HoZrGa4 at its relaxed geometry. Source: Alexandria, functional PBE.

Structure (POSCAR):
```
HoZrGa4
1.0
4.172 0.000 0.000
0.000 7.239 0.000
0.000 0.000 7.635
Ho Zr Ga
2 2 8
Cartesian
0.000 0.000 0.000
2.086 3.619 3.817
0.000 0.000 3.817
2.086 3.619 0.000
0.000 2.417 1.896
0.000 2.417 5.739
0.000 4.821 1.896
0.000 4.821 5.739
2.086 1.202 1.921
2.086 1.202 5.714
2.086 6.037 1.921
2.086 6.037 5.714
```

## Properties
The value obtained for the mass density is 7.71 g/cm3. The space group is Immm. Its total energy is -56.90 eV per cell.



Entry 20:
Crystalline HoZrGa at its relaxed geometry. Source: Alexandria, functional PBE.

Structure (POSCAR):
```
HoZrGa
1.0
4.241 0.000 0.000
0.000 4.241 0.000
0.000 0.000 7.875
Ho Zr Ga
2 2 2
Cartesian
1.060 1.060 1.188
3.181 3.181 6.686
1.060 3.181 3.937
3.181 1.060 3.937
1.060 1.060 5.997
3.181 3.181 1.878
```

## Properties
The value obtained for the mass density is 7.64 g/cm3. The space group is P4/nmm. Its total energy is -34.93 eV per cell.



Entry 21:
Crystalline Ho2ZrGa9 at its relaxed geometry. Source: Alexandria, functional PBE.

Structure (POSCAR):
```
Ho2ZrGa9
1.0
4.217 0.000 0.000
0.000 4.217 0.000
0.000 0.000 12.666
Ho Zr Ga
2 1 9
Cartesian
0.000 0.000 2.182
0.000 0.000 10.483
0.000 0.000 6.333
0.000 2.108 0.000
0.000 2.108 4.298
0.000 2.108 8.368
2.108 0.000 0.000
2.108 0.000 4.298
2.108 0.000 8.368
2.108 2.108 2.106
2.108 2.108 6.333
2.108 2.108 10.560
```

## Properties
The value obtained for the mass density is 7.73 g/cm3. The space group is P4/mmm. Its total energy is -51.10 eV per cell.



Entry 22:
Crystalline HoZrGa3 at its relaxed geometry. Source: Alexandria, functional PBE.

Structure (POSCAR):
```
HoZrGa3
1.0
1.994 -12.539 0.000
1.994 12.539 0.000
0.000 0.000 4.048
Ho Zr Ga
2 2 6
Cartesian
1.994 10.646 3.036
1.994 -10.646 1.012
1.994 7.364 1.012
1.994 -7.364 3.036
1.994 4.568 1.012
1.994 3.084 3.036
1.994 0.639 3.036
1.994 -0.639 1.012
1.994 -3.084 1.012
1.994 -4.568 3.036
```

## Properties
The value obtained for the mass density is 7.63 g/cm3. The space group is Cmcm. Its total energy is -50.51 eV per cell.



Entry 23:
Crystalline HoZr3Ga2 at its relaxed geometry. Source: Alexandria, functional PBE.

Structure (POSCAR):
```
HoZr3Ga2
1.0
8.239 -2.082 0.000
8.239 2.082 0.000
-3.369 0.000 7.804
Ho Zr Ga
2 6 4
Cartesian
1.479 0.000 1.091
11.630 0.000 6.713
-1.382 0.000 5.302
4.720 0.000 0.917
4.206 0.000 4.005
8.902 0.000 3.799
8.389 0.000 6.887
14.491 0.000 2.502
1.584 0.000 5.502
7.616 0.000 1.150
5.493 0.000 6.654
11.525 0.000 2.301
```

## Properties
The value obtained for the mass density is 7.17 g/cm3. The space group is C2/m. Its total energy is -76.74 eV per cell.



Entry 24:
Crystalline GaI3 at its relaxed geometry. Source: Alexandria, functional PBE.

Structure (POSCAR):
```
GaI3
1.0
8.283 0.000 0.000
0.000 8.283 0.000
0.000 0.000 8.283
Ga I
4 12
Cartesian
0.000 0.000 0.000
0.000 4.142 4.142
4.142 0.000 4.142
4.142 4.142 0.000
0.000 0.000 4.142
0.000 4.142 0.000
2.071 2.071 2.071
2.071 2.071 6.212
2.071 6.212 2.071
2.071 6.212 6.212
4.142 0.000 0.000
4.142 4.142 4.142
6.212 2.071 2.071
6.212 2.071 6.212
6.212 6.212 2.071
6.212 6.212 6.212
```

## Properties
The value obtained for the mass density is 5.26 g/cm3. The space group is Fm-3m. Its total energy is -27.30 eV per cell.



Entry 25:
Crystalline GaI3 at its relaxed geometry. Source: Alexandria, functional PBE.

Structure (POSCAR):
```
GaI3
1.0
8.401 0.000 0.000
0.000 8.401 0.000
0.000 0.000 9.126
Ga I
4 12
Cartesian
0.000 0.000 0.000
0.000 4.200 2.281
4.200 0.000 6.844
4.200 4.200 4.563
0.000 0.000 4.563
0.000 4.200 6.844
1.383 2.100 1.141
2.100 5.584 3.422
2.100 7.017 7.985
2.817 2.100 5.704
4.200 0.000 2.281
4.200 4.200 0.000
5.584 6.301 5.704
6.301 1.383 7.985
6.301 2.817 3.422
7.017 6.301 1.141
```

## Properties
The value obtained for the mass density is 4.65 g/cm3. The space group is I-42d. Its total energy is -31.68 eV per cell.



Entry 26:
Crystalline Ga5I at its relaxed geometry. Source: Alexandria, functional PBE.

Structure (POSCAR):
```
Ga5I
1.0
5.083 0.000 0.000
0.000 14.402 0.000
0.000 0.000 3.878
Ga I
10 2
Cartesian
0.000 0.000 0.000
0.000 2.316 1.939
0.000 4.313 0.000
0.000 10.089 0.000
0.000 12.086 1.939
2.541 2.888 0.000
2.541 4.885 1.939
2.541 7.201 0.000
2.541 9.517 1.939
2.541 11.514 0.000
0.000 7.201 1.939
2.541 0.000 1.939
```

## Properties
The value obtained for the mass density is 5.56 g/cm3. The space group is Cmmm. Its total energy is -32.24 eV per cell.